No. 1
First-principles (PBE-GGA) data for a relaxed structure of Li2MgZn, as listed in Alexandria.

a b c (Å): 3.300 4.611 9.332
angles (deg): 90.00 90.00 90.00
Space group Immm (No. 71)
Asymmetric unit:
Li 0.000 0.000 0.233 x4
Mg 0.000 0.500 0.000 x2
Zn 0.000 0.500 0.500 x2

Properties
final energy = -7.12 eV per formula unit



No. 2
First-principles (PBE-GGA) data for a relaxed structure of Zn3GaNi12, as listed in Alexandria.

a b c (Å): 3.582 3.582 14.292
angles (deg): 90.00 90.00 90.00
Space group P4/mmm (No. 123)
Asymmetric unit:
Zn 0.000 0.000 0.000 x1
Zn 0.000 0.000 0.250 x2
Ga 0.000 0.000 0.500 x1
Ni 0.000 0.500 0.125 x4
Ni 0.000 0.500 0.375 x4
Ni 0.500 0.500 0.000 x1
Ni 0.500 0.500 0.250 x2
Ni 0.500 0.500 0.500 x1

Properties
final energy = -78.65 eV per formula unit



No. 3
First-principles (PBE-GGA) data for a relaxed structure of LaPm2Y9, as listed in Alexandria.

a b c (Å): 5.094 5.094 15.276
angles (deg): 90.00 90.00 90.00
Space group P4/mmm (No. 123)
Asymmetric unit:
La 0.000 0.000 0.000 x1
Pm 0.000 0.000 0.334 x2
Y 0.000 0.500 0.169 x4
Y 0.000 0.500 0.500 x2
Y 0.500 0.500 0.000 x1
Y 0.500 0.500 0.335 x2

Properties
final energy = -72.30 eV per formula unit



No. 4
First-principles (PBE-GGA) data for a relaxed structure of Pr8PdPt2, as listed in Alexandria.

a b c (Å): 18.161 5.152 7.087
angles (deg): 90.00 99.59 90.00
Space group C2/m (No. 12)
Asymmetric unit:
Pr 0.035 0.000 0.275 x4
Pr 0.088 0.500 0.945 x4
Pr 0.167 0.500 0.465 x4
Pr 0.202 0.000 0.835 x4
Pd 0.000 0.500 0.500 x2
Pt 0.199 0.000 0.243 x4

Properties
excess energy over the best structure of this formula in the dataset = 0 meV/atom



No. 5
First-principles (PBE-GGA) data for a relaxed structure of YCuPb2, as listed in Alexandria.

a b c (Å): 3.556 4.524 6.383
angles (deg): 90.00 96.18 90.00
Space group P2/m (No. 10)
Asymmetric unit:
Y 0.000 0.000 0.000 x1
Cu 0.500 0.000 0.500 x1
Pb 0.383 0.500 0.737 x2

Properties
excess energy over the best structure of this formula in the dataset = 89 meV/atom



No. 6
First-principles (PBE-GGA) data for a relaxed structure of CaSmHg5, as listed in Alexandria.

a b c (Å): 4.588 4.588 9.240
angles (deg): 90.00 90.00 90.00
Space group P4/mmm (No. 123)
Asymmetric unit:
Ca 0.000 0.000 0.000 x1
Sm 0.500 0.500 0.500 x1
Hg 0.000 0.000 0.500 x1
Hg 0.000 0.500 0.241 x4

Properties
final energy = -10.36 eV per formula unit



No. 7
First-principles (PBE-GGA) data for a relaxed structure of Li4Dy9Hg11, as listed in Alexandria.

a b c (Å): 15.076 21.552 3.497
angles (deg): 90.00 90.00 90.00
Space group Cmmm (No. 65)
Asymmetric unit:
Li 0.149 0.098 0.000 x8
Dy 0.000 0.000 0.000 x2
Dy 0.113 0.243 0.000 x8
Dy 0.136 0.421 0.000 x8
Hg 0.000 0.134 0.500 x4
Hg 0.000 0.339 0.500 x4
Hg 0.000 0.500 0.500 x2
Hg 0.203 0.000 0.500 x4
Hg 0.244 0.327 0.500 x8

Properties
final energy = -61.32 eV per formula unit



No. 8
First-principles (PBE-GGA) data for a relaxed structure of LiMgCu3, as listed in Alexandria.

a b c (Å): 4.691 4.691 4.691
angles (deg): 90.00 90.00 90.00
Space group Pm-3m (No. 221)
Asymmetric unit:
Li 0.000 0.000 0.000 x1
Mg 0.500 0.500 0.500 x1
Cu 0.000 0.500 0.500 x3

Properties
excess energy over the best structure of this formula in the dataset = 816 meV/atom